Entry 1:
Crystalline HfBeTe at its relaxed geometry, computed with PBE-GGA.

## Properties
- Symmetry: Cmcm (63)
- Total energy: -6.200 eV per atom

Unit cell a=9.456 b=9.456 c=3.689 alpha=90.00 beta=90.00 gamma=157.48
Sites, in units of the cell vectors:
Hf 0.072 0.928 0.750
Hf 0.928 0.072 0.250
Be 0.473 0.527 0.750
Be 0.527 0.473 0.250
Te 0.344 0.656 0.750
Te 0.656 0.344 0.250



Entry 2:
Crystalline Tb2ZrPd2 at its relaxed geometry, computed with PBE-GGA.

## Properties
- Symmetry: Ibam (72)
- Formation energy from the elements: -0.514 eV/atom

Unit cell a=7.247 b=7.247 c=7.247 alpha=111.21 beta=86.51 gamma=134.35
Sites, in units of the cell vectors:
Tb 0.166 0.141 0.308
Tb 0.334 0.641 0.975
Tb 0.666 0.359 0.025
Tb 0.834 0.859 0.692
Zr 0.250 0.750 0.500
Zr 0.750 0.250 0.500
Pd 0.095 0.785 0.880
Pd 0.405 0.285 0.689
Pd 0.595 0.715 0.311
Pd 0.905 0.215 0.120



Entry 3:
Crystalline PrSm2Ga2Fe4 at its relaxed geometry, computed with PBE-GGA.

## Properties
- Symmetry: C2/m (12)
- Total energy: -6.096 eV per atom

Unit cell a=5.575 b=5.575 c=8.167 alpha=99.34 beta=99.34 gamma=43.80
Sites, in units of the cell vectors:
Pr 0.000 0.000 0.000
Sm 0.374 0.374 0.622
Sm 0.626 0.626 0.378
Ga 0.326 0.326 0.229
Ga 0.674 0.674 0.771
Fe 0.078 0.078 0.628
Fe 0.249 0.249 0.923
Fe 0.751 0.751 0.077
Fe 0.922 0.922 0.372



What did the third record say?
Crystalline PrSm2Ga2Fe4 at its relaxed geometry, computed with PBE-GGA.

## Properties
- Symmetry: C2/m (12)
- Total energy: -6.096 eV per atom

Unit cell a=5.575 b=5.575 c=8.167 alpha=99.34 beta=99.34 gamma=43.80
Sites, in units of the cell vectors:
Pr 0.000 0.000 0.000
Sm 0.374 0.374 0.622
Sm 0.626 0.626 0.378
Ga 0.326 0.326 0.229
Ga 0.674 0.674 0.771
Fe 0.078 0.078 0.628
Fe 0.249 0.249 0.923
Fe 0.751 0.751 0.077
Fe 0.922 0.922 0.372



> Number 3 is which compound?

PrSm2Ga2Fe4